[1]
Density functional theory data (GGA-PBE) for a relaxed TbSm2Dy3Se6 crystal.

Uncorrected formation energy   -1778 meV per atom
Total magnetic moment   0.000 μB/atom
Crystal system   monoclinic
Space group   C2/m, No. 12

Lattice parameters (Å, degrees): 7.1127 7.1127 7.1501 99.51 99.51 120.31
Closest atoms and distances in Å follow each position.
Sites, in units of the cell vectors:
Tb 0.0000 0.0000 0.0000  6 Se 2.90-2.91
Sm 0.3329 0.6671 0.0000  6 Se 2.94-2.96
Sm 0.6671 0.3329 0.0000  6 Se 2.94-2.96
Dy 0.1698 0.8302 0.5000  6 Se 2.87-2.89
Dy 0.5000 0.5000 0.5000  6 Se 2.87-2.90
Dy 0.8302 0.1698 0.5000  6 Se 2.87-2.89
Se 0.0854 0.4140 0.2559  3 Dy 2.87-2.88, 1 Tb 2.90, 2 Sm 2.94
Se 0.2426 0.2426 0.7418  3 Dy 2.89-2.90, 1 Tb 2.91, 2 Sm 2.96
Se 0.4140 0.0854 0.2559  3 Dy 2.87-2.88, 1 Tb 2.90, 2 Sm 2.94
Se 0.5860 0.9146 0.7441  3 Dy 2.87-2.88, 1 Tb 2.90, 2 Sm 2.94
Se 0.7574 0.7574 0.2582  3 Dy 2.89-2.90, 1 Tb 2.91, 2 Sm 2.96
Se 0.9146 0.5860 0.7441  3 Dy 2.87-2.88, 1 Tb 2.90, 2 Sm 2.94

***

[2]
Density functional theory data (GGA-PBE) for a relaxed NdY8Th2 crystal.

E_tot   -0.46322 Ry per atom
Total magnetic moment   0.000 μB/atom
Crystal system   monoclinic
Space group   C2/m, No. 12

Lattice parameters (Å, degrees): 9.0816 9.0816 6.6759 97.99 97.99 42.73
Closest atoms and distances in Å follow each position.
Sites, in units of the cell vectors:
Nd 0.0000 0.0000 0.0000  8 Y 3.37-3.74
Y 0.1715 0.6521 0.5936  3 Y 3.18-3.44, 2 Th 3.30-3.41, 1 Nd 3.37
Y 0.2032 0.2032 0.8206  4 Th 3.42-3.61, 3 Y 3.57-3.71, 1 Nd 3.80
Y 0.3479 0.8285 0.4064  3 Y 3.18-3.44, 2 Th 3.30-3.41, 1 Nd 3.37
Y 0.4099 0.4099 0.0990  1 Th 3.37, 8 Y 3.50-3.74, 2 Nd 3.74
Y 0.5901 0.5901 0.9010  1 Th 3.37, 8 Y 3.50-3.74, 2 Nd 3.74
Y 0.6521 0.1715 0.5936  3 Y 3.18-3.44, 2 Th 3.30-3.41, 1 Nd 3.37
Y 0.7968 0.7968 0.1794  4 Th 3.42-3.61, 3 Y 3.57-3.71, 1 Nd 3.80
Y 0.8285 0.3479 0.4064  3 Y 3.18-3.44, 2 Th 3.30-3.41, 1 Nd 3.37
Th 0.2485 0.2485 0.3387  9 Y 3.30-3.61
Th 0.7515 0.7515 0.6613  9 Y 3.30-3.61

***

[3]
Density functional theory data (GGA-PBE) for a relaxed RbInGaBr3 crystal.

Uncorrected formation energy   -959 meV per atom
Total magnetic moment   0.000 μB/atom
Crystal system   monoclinic
Space group   P2_1/m, No. 11

Lattice parameters (Å, degrees): 9.5243 4.6728 11.2870 90.00 105.08 90.00
Closest atoms and distances in Å follow each position.
Sites, in units of the cell vectors:
Rb 0.1831 0.2500 0.2031  7 Br 3.44-3.69
Rb 0.8169 0.7500 0.7969  7 Br 3.44-3.69
In 0.3253 0.7500 0.8524  5 Br 2.97-3.30
In 0.6747 0.2500 0.1476  5 Br 2.97-3.30
Ga 0.1606 0.2500 0.6311  4 Br 2.82-3.11
Ga 0.8394 0.7500 0.3689  4 Br 2.82-3.11
Br 0.0997 0.2500 0.8877  1 Ga 3.10, 2 In 3.27, 1 Rb 3.44
Br 0.1461 0.7500 0.4463  3 Ga 2.82-3.11
Br 0.4242 0.7500 0.1245  3 In 2.97-3.30
Br 0.5758 0.2500 0.8755  3 In 2.97-3.30
Br 0.8539 0.2500 0.5537  3 Ga 2.82-3.11
Br 0.9003 0.7500 0.1123  1 Ga 3.10, 2 In 3.27, 1 Rb 3.44

***

[4]
Density functional theory data (GGA-PBE) for a relaxed CaBi3Pb crystal.

E_tot   -0.22505 Ry per atom
Total magnetic moment   0.000 μB/atom
Crystal system   cubic
Space group   Pm-3m, No. 221

Lattice parameters (Å, degrees): 5.9331 5.9331 5.9331 90.00 90.00 90.00
Closest atoms and distances in Å follow each position.
Sites, in units of the cell vectors:
Ca 0.0000 0.0000 0.0000  12 Bi 4.20
Bi 0.0000 0.5000 0.5000  2 Pb 2.97
Bi 0.5000 0.0000 0.5000  2 Pb 2.97
Bi 0.5000 0.5000 0.0000  2 Pb 2.97
Pb 0.5000 0.5000 0.5000  6 Bi 2.97

***

[5]
Density functional theory data (GGA-PBE) for a relaxed TcNiP2 crystal.

E_tot   -0.52082 Ry per atom
Total magnetic moment   0.000 μB/atom
Crystal system   orthorhombic
Space group   Pmm2, No. 25

Lattice parameters (Å, degrees): 3.0708 3.3850 4.9069 90.00 90.00 90.00
Closest atoms and distances in Å follow each position.
Sites, in units of the cell vectors:
Tc 0.0000 0.0000 0.0000  6 P 2.37-2.53
Ni 0.5000 0.5000 0.3630  5 P 2.28-2.36
P 0.0000 0.0000 0.4840  4 Ni 2.36, 2 Tc 2.37-2.53
P 0.5000 0.5000 0.8281  1 Ni 2.28, 4 Tc 2.44

***

[6]
Density functional theory data (GGA-PBE) for a relaxed LiTiAlHg crystal.

E_tot   -0.26229 Ry per atom
Total magnetic moment   0.000 μB/atom
Crystal system   cubic
Space group   F-43m, No. 216

Lattice parameters (Å, degrees): 4.6082 4.6082 4.6082 60.00 60.00 60.00
Closest atoms and distances in Å follow each position.
Sites, in units of the cell vectors:
Li 0.0000 0.0000 0.0000  4 Al 2.82, 4 Hg 2.82
Ti 0.5000 0.5000 0.5000  4 Hg 2.82, 4 Al 2.82
Al 0.2500 0.2500 0.2500  4 Ti 2.82, 4 Li 2.82
Hg 0.7500 0.7500 0.7500  4 Ti 2.82, 4 Li 2.82

***

[7]
Density functional theory data (GGA-PBE) for a relaxed YB2IN crystal.

Uncorrected formation energy   1754 meV per atom
Total magnetic moment   0.065 μB/atom
Crystal system   tetragonal
Space group   P4/mmm, No. 123

Lattice parameters (Å, degrees): 5.2763 5.2763 4.1644 90.00 90.00 90.00
Closest atoms and distances in Å follow each position.
Sites, in units of the cell vectors:
Y 0.0000 0.0000 0.0000  2 N 2.08
B 0.0000 0.5000 0.0000  2 Y 2.64
B 0.5000 0.0000 0.0000  2 Y 2.64
I 0.5000 0.5000 0.5000  8 B 3.36, 4 N 3.73
N 0.0000 0.0000 0.5000  2 Y 2.08

***

[8]
Density functional theory data (GGA-PBE) for a relaxed ZrRe2Ru crystal.

E_tot   -0.76965 Ry per atom
Total magnetic moment   0.000 μB/atom
Crystal system   trigonal
Space group   R-3m, No. 166

Lattice parameters (Å, degrees): 9.6670 9.6670 9.6670 16.69 16.69 16.69
Closest atoms and distances in Å follow each position.
Sites, in units of the cell vectors:
Zr 0.0000 0.0000 0.0000  6 Zr 2.81, 6 Re 3.09
Re 0.2413 0.2413 0.2413  3 Ru 2.68, 6 Re 2.81
Re 0.7587 0.7587 0.7587  3 Ru 2.68, 6 Re 2.81
Ru 0.5000 0.5000 0.5000  6 Re 2.68, 6 Ru 2.81